No. 1
Here is a relaxed GaCoOF2 crystal from Alexandria via LeMat-Bulk. Energies are from PBE with a Hubbard U.

**E**: -23.02 eV per cell
**Density**: 5.017 g cm⁻³

```
data_GaCoOF2
_cell_length_a 4.045
_cell_length_b 4.045
_cell_length_c 3.696
_cell_angle_alpha 90.00
_cell_angle_beta 90.00
_cell_angle_gamma 90.00
_symmetry_space_group_name_H-M 'P 4/m m m'
_symmetry_Int_Tables_number 123
_symmetry_space_group_name_Hall '-P 4 2'
loop_
_atom_site_label
_atom_site_type_symbol
_atom_site_fract_x
_atom_site_fract_y
_atom_site_fract_z
Ga1 Ga 0.000 0.000 0.000
Co1 Co 0.500 0.500 0.500
O1 O 0.000 0.000 0.500
F1 F 0.000 0.500 0.000
```

=====

No. 2
Here is a relaxed GaCoOF2 crystal from Alexandria via LeMat-Bulk. Energies are from PBE with a Hubbard U.

**E**: -23.59 eV per cell
**Density**: 4.655 g cm⁻³

```
data_GaCoOF2
_cell_length_a 4.204
_cell_length_b 4.204
_cell_length_c 3.687
_cell_angle_alpha 90.00
_cell_angle_beta 90.00
_cell_angle_gamma 90.00
_symmetry_space_group_name_H-M 'P 4/m m m'
_symmetry_Int_Tables_number 123
_symmetry_space_group_name_Hall '-P 4 2'
loop_
_atom_site_label
_atom_site_type_symbol
_atom_site_fract_x
_atom_site_fract_y
_atom_site_fract_z
Ga1 Ga 0.000 0.000 0.000
Co1 Co 0.500 0.500 0.500
O1 O 0.500 0.500 0.000
F1 F 0.000 0.500 0.500
```

=====

No. 3
Here is a relaxed GaCoO2F crystal from Alexandria via LeMat-Bulk. Energies are from PBE with a Hubbard U.

**E**: -24.22 eV per cell
**Density**: 5.209 g cm⁻³

```
data_GaCoO2F
_cell_length_a 3.756
_cell_length_b 3.756
_cell_length_c 4.060
_cell_angle_alpha 90.00
_cell_angle_beta 90.00
_cell_angle_gamma 90.00
_symmetry_space_group_name_H-M 'P 4/m m m'
_symmetry_Int_Tables_number 123
_symmetry_space_group_name_Hall '-P 4 2'
loop_
_atom_site_label
_atom_site_type_symbol
_atom_site_fract_x
_atom_site_fract_y
_atom_site_fract_z
Ga1 Ga 0.000 0.000 0.000
Co1 Co 0.500 0.500 0.500
O1 O 0.000 0.500 0.500
F1 F 0.500 0.500 0.000
```

=====

No. 4
Here is a relaxed GaCoPdF6 crystal from Alexandria via LeMat-Bulk. Energies are from PBE with a Hubbard U.

**E**: -82.26 eV per cell
**Density**: 4.754 g cm⁻³

```
data_GaCoPdF6
_cell_length_a 5.3438
_cell_length_b 5.3438
_cell_length_c 9.8598
_cell_angle_alpha 90.00
_cell_angle_beta 90.00
_cell_angle_gamma 120.00
_symmetry_space_group_name_H-M 'P -3 1 c'
_symmetry_Int_Tables_number 163
_symmetry_space_group_name_Hall '-P 3 2c'
loop_
_atom_site_label
_atom_site_type_symbol
_atom_site_fract_x
_atom_site_fract_y
_atom_site_fract_z
Ga1 Ga 0.3333 0.6667 0.2500
Co1 Co 0.3333 0.6667 0.7500
Pd1 Pd 0.0000 0.0000 0.0000
F1 F 0.0208 0.3776 0.1414
```

=====

No. 5
Here is a relaxed Ga2CoPdF crystal from Alexandria via LeMat-Bulk. Energies are from PBE with a Hubbard U.

**E**: -17.99 eV per cell
**Density**: 5.376 g cm⁻³

```
data_Ga2CoPdF
_cell_length_a 4.901
_cell_length_b 4.901
_cell_length_c 4.163
_cell_angle_alpha 90.00
_cell_angle_beta 90.00
_cell_angle_gamma 90.00
_symmetry_space_group_name_H-M 'P 4/m m m'
_symmetry_Int_Tables_number 123
_symmetry_space_group_name_Hall '-P 4 2'
loop_
_atom_site_label
_atom_site_type_symbol
_atom_site_fract_x
_atom_site_fract_y
_atom_site_fract_z
Ga1 Ga 0.000 0.500 0.000
Co1 Co 0.000 0.000 0.500
Pd1 Pd 0.500 0.500 0.000
F1 F 0.500 0.500 0.500
```

=====

No. 6
Here is a relaxed Rb2GaCoF6 crystal from Alexandria via LeMat-Bulk. Energies are from PBE with a Hubbard U.

**E**: -90.77 eV per cell
**Density**: 4.536 g cm⁻³

```
data_Rb2GaCoF6
_cell_length_a 5.973
_cell_length_b 5.973
_cell_length_c 8.489
_cell_angle_alpha 90.00
_cell_angle_beta 90.00
_cell_angle_gamma 90.00
_symmetry_space_group_name_H-M 'I 4/m m m'
_symmetry_Int_Tables_number 139
_symmetry_space_group_name_Hall '-I 4 2'
loop_
_atom_site_label
_atom_site_type_symbol
_atom_site_fract_x
_atom_site_fract_y
_atom_site_fract_z
Rb1 Rb 0.000 0.500 0.250
Ga1 Ga 0.000 0.000 0.000
Co1 Co 0.000 0.000 0.500
F1 F 0.000 0.000 0.229
F2 F 0.230 0.230 0.000
```

=====

> Which of these has the lowest density?

Rb2GaCoF6